DFT (PBE+U) results for a geometry-optimized Zn2CrTeF structure.

abc: 5.431 5.431 5.430
angles: 90.00 90.00 90.00
Fractional positions:
Zn1 0.000 0.500 0.000
Zn2 0.500 0.000 0.000
Cr1 0.000 0.000 0.500
Te1 0.000 0.000 0.000
F1 0.500 0.500 0.500

## Properties
SG: P4/mmm
Calculated total energy: -2.932 eV per atom
D(E_F): 0.8 states/eV/f.u.
Total moment: 4.92 μB per formula unit